Record 1
PmPr7Y2: relaxed, PBE.

a = 3.490 Å, b = 15.477 Å, c = 15.477 Å
α = 154.90°, β = 90.00°, γ = 90.00°
Positions (direct):
Pr 0.500 0.500 0.500
Pr 0.000 0.309 0.691
Pr 0.500 0.143 0.344
Pr 0.500 0.344 0.143
Pr 0.500 0.656 0.857
Pr 0.500 0.857 0.656
Pr 0.000 0.691 0.309
Y 0.500 0.207 0.793
Y 0.500 0.793 0.207
Pm 0.000 0.000 0.000

Properties
E in eV for the cell shown: -49.4
Space group: Cmmm (65)
E_form in eV/atom: 0.174

Record 2
Pm3Pr7Y2: relaxed, PBE.

a = 3.609 Å, b = 6.586 Å, c = 18.456 Å
α = 75.16°, β = 90.00°, γ = 90.00°
Positions (direct):
Pr 0.000 0.440 0.832
Pr 0.500 0.945 0.829
Pr 0.000 0.560 0.168
Pr 0.500 0.055 0.171
Pr 0.000 0.000 0.000
Pr 0.500 0.762 0.495
Pr 0.500 0.238 0.505
Y 0.500 0.386 0.670
Y 0.500 0.614 0.330
Pm 0.000 0.883 0.661
Pm 0.500 0.500 0.000
Pm 0.000 0.117 0.339

Properties
E in eV for the cell shown: -59.8
Space group: P2/m (10)
E_form in eV/atom: 0.070

Record 3
Pm5Pr3Y3: relaxed, PBE.

a = 5.567 Å, b = 9.764 Å, c = 9.764 Å
α = 120.00°, β = 90.00°, γ = 90.00°
Positions (direct):
Pm 0.500 0.333 0.667
Pm 0.500 0.269 0.269
Pm 0.500 0.731 0.000
Pm 0.500 0.667 0.333
Pm 0.500 0.000 0.731
Y 0.000 0.000 0.530
Y 0.000 0.530 0.000
Y 0.000 0.470 0.470
Pr 0.500 0.000 0.360
Pr 0.500 0.640 0.640
Pr 0.500 0.360 0.000

Properties
E in eV for the cell shown: -49.2
Space group: P-62m (189)
E_form in eV/atom: 0.755

Record 4
Pm3Pr7Y2: relaxed, PBE.

a = 3.652 Å, b = 5.928 Å, c = 19.856 Å
α = 98.66°, β = 90.00°, γ = 90.00°
Positions (direct):
Pr 0.500 0.907 0.812
Pr 0.000 0.000 0.000
Pr 0.000 0.572 0.146
Pr 0.500 0.732 0.464
Pr 0.000 0.428 0.854
Pr 0.500 0.268 0.536
Pr 0.500 0.093 0.188
Pm 0.000 0.816 0.631
Pm 0.500 0.500 0.000
Pm 0.000 0.184 0.369
Y 0.500 0.648 0.297
Y 0.500 0.352 0.703

Properties
E in eV for the cell shown: -59.5
Space group: P2/m (10)
E_form in eV/atom: 0.098

Record 5
Pm5Pr2Y12: relaxed, PBE.

a = 9.434 Å, b = 12.465 Å, c = 8.741 Å
α = 132.76°, β = 90.00°, γ = 112.23°
Positions (direct):
Pr 0.324 0.000 0.000
Pr 0.676 0.000 0.000
Y 0.819 0.258 0.597
Y 0.440 0.258 0.597
Y 0.442 0.885 0.218
Y 0.029 0.701 0.941
Y 0.181 0.742 0.403
Y 0.922 0.844 0.719
Y 0.560 0.742 0.403
Y 0.328 0.299 0.059
Y 0.971 0.299 0.059
Y 0.558 0.115 0.782
Y 0.672 0.701 0.941
Y 0.078 0.156 0.281
Pm 0.705 0.410 0.391
Pm 0.230 0.460 0.887
Pm 0.295 0.590 0.609
Pm 0.770 0.540 0.113
Pm 0.000 0.000 0.500

Properties
E in eV for the cell shown: -108.5
Space group: C2/m (12)
E_form in eV/atom: 0.124

Record 6
PmPr3Y8: relaxed, PBE.

a = 8.460 Å, b = 8.460 Å, c = 8.460 Å
α = 94.71°, β = 117.32°, γ = 117.32°
Positions (direct):
Y 0.506 0.747 0.747
Y 0.749 0.122 0.122
Y 0.494 0.240 0.240
Y 0.000 0.253 0.760
Y 0.000 0.760 0.253
Y 0.251 0.373 0.373
Y 0.000 0.878 0.627
Y 0.000 0.627 0.878
Pm 0.000 0.000 0.000
Pr 0.500 0.750 0.250
Pr 0.000 0.500 0.500
Pr 0.500 0.250 0.750

Properties
E in eV for the cell shown: -63.4
Space group: I-42m (121)
E_form in eV/atom: 0.617

Record 7
Pm2Pr6Y: relaxed, PBE.

a = 3.699 Å, b = 10.245 Å, c = 10.245 Å
α = 55.84°, β = 90.00°, γ = 90.00°
Positions (direct):
Pr 0.500 0.317 0.683
Pr 0.000 0.511 0.160
Pr 0.000 0.489 0.840
Pr 0.000 0.160 0.511
Pr 0.000 0.840 0.489
Pr 0.500 0.683 0.317
Pm 0.500 0.176 0.176
Pm 0.500 0.824 0.824
Y 0.000 0.000 0.000

Properties
E in eV for the cell shown: -43.5
Space group: Cmmm (65)
E_form in eV/atom: 0.125

Record 8
Pm2PrY4: relaxed, PBE.

a = 9.644 Å, b = 8.718 Å, c = 8.721 Å
α = 136.37°, β = 100.16°, γ = 94.20°
Positions (direct):
Y 0.445 0.650 0.682
Y 0.940 0.689 0.220
Y 0.459 0.663 0.274
Y 0.291 0.014 0.652
Y 0.807 0.988 0.706
Y 0.792 0.565 0.705
Y 0.958 0.111 0.223
Y 0.309 0.031 0.249
Pr 0.093 0.728 0.686
Pr 0.157 0.344 0.136
Pm 0.591 0.336 0.793
Pm 0.126 0.401 0.776
Pm 0.625 0.278 0.153
Pm 0.658 0.952 0.246

Properties
E in eV for the cell shown: -78.1
Space group: P1 (1)
E_form in eV/atom: 0.154